This record from Alexandria via LeMat-Bulk describes crystalline TmReP at its relaxed geometry. The functional is PBE.

Output
Volume: 17.298 A^3/atom
Theoretical density: 12.36 g/cm3
E_tot: -98.43 eV per cell
Crystal system: orthorhombic
Formation energy: -0.76 eV/atom

a b c (Å): 5.463 7.148 5.316
angles (deg): 90.00 90.00 90.00
Space group Pbcm (No. 57)
Symmetry-distinct sites (fractional):
Tm 0.137 0.097 0.250 [4 per cell]
Re 0.374 0.750 0.000 [4 per cell]
P 0.336 0.044 0.750 [4 per cell]